Arrangement one

Here is crystalline Ca3GeSb at its relaxed geometry from the Alexandria database. Energies are from PBE.

Cell and atoms, written as CIF:
```
data_Ca3GeSb
_cell_length_a 5.5450
_cell_length_b 5.5450
_cell_length_c 5.5450
_cell_angle_alpha 90.00
_cell_angle_beta 90.00
_cell_angle_gamma 90.00
_symmetry_space_group_name_H-M 'P m -3 m'
_symmetry_Int_Tables_number 221
_symmetry_space_group_name_Hall '-P 4 2 3'
loop_
_atom_site_label
_atom_site_fract_x
_atom_site_fract_y
_atom_site_fract_z
Ca1 0.0000 0.0000 0.5000
Ge1 0.0000 0.0000 0.0000
Sb1 0.5000 0.5000 0.5000
```

Arrangement two

Here is crystalline Ca3GeSb at its relaxed geometry from the Alexandria database. Energies are from PBE.

Cell and atoms, written as CIF:
```
data_Ca3GeSb
_cell_length_a 16.6730
_cell_length_b 4.2419
_cell_length_c 8.6915
_cell_angle_alpha 90.00
_cell_angle_beta 94.85
_cell_angle_gamma 90.00
_symmetry_space_group_name_H-M 'C 1 2/m 1'
_symmetry_Int_Tables_number 12
loop_
_symmetry_equiv_pos_as_xyz
'x,y,z'
'-x,-y,-z'
'-x,y,-z'
'x,-y,z'
'x+1/2,y+1/2,z'
'-x+1/2,-y+1/2,-z'
'-x+1/2,y+1/2,-z'
'x+1/2,-y+1/2,z'
loop_
_atom_site_label
_atom_site_fract_x
_atom_site_fract_y
_atom_site_fract_z
Ca1 0.0479 0.0000 0.1823
Ca2 0.1052 0.5000 0.5733
Ca3 0.2411 0.0000 0.8105
Ge1 0.2060 0.0000 0.4418
Sb1 0.1094 0.5000 0.9316
```

The least stable of them is arrangement one.

Arrangement one

Here is crystalline CaGeSe2 at its relaxed geometry from the Alexandria database. Energies are from PBE.

Cell and atoms, written as CIF:
```
data_CaGeSe2
_cell_length_a 3.9607
_cell_length_b 3.9607
_cell_length_c 25.5054
_cell_angle_alpha 90.00
_cell_angle_beta 90.00
_cell_angle_gamma 120.00
_symmetry_space_group_name_H-M 'R -3 m'
_symmetry_Int_Tables_number 166
_symmetry_space_group_name_Hall '-R 3 2"'
loop_
_atom_site_label
_atom_site_fract_x
_atom_site_fract_y
_atom_site_fract_z
Ca1 0.0000 0.0000 0.0000
Ge1 0.0000 0.0000 0.5000
Se1 0.0000 0.0000 0.1076
```

Arrangement two

Here is crystalline CaGeSe2 at its relaxed geometry from the Alexandria database. Energies are from PBE.

Cell and atoms, written as CIF:
```
data_CaGeSe2
_cell_length_a 6.3193
_cell_length_b 6.3193
_cell_length_c 13.4482
_cell_angle_alpha 90.00
_cell_angle_beta 90.00
_cell_angle_gamma 90.00
_symmetry_space_group_name_H-M 'I -4 2 d'
_symmetry_Int_Tables_number 122
_symmetry_space_group_name_Hall 'I -4 2bw'
loop_
_atom_site_label
_atom_site_fract_x
_atom_site_fract_y
_atom_site_fract_z
Ca1 0.0000 0.0000 0.0000
Ge1 0.0000 0.0000 0.5000
Se1 0.2315 0.2500 0.6250
```

Arrangement three

Here is crystalline CaGeSe2 at its relaxed geometry from the Alexandria database. Energies are from PBE.

Cell and atoms, written as CIF:
```
data_CaGeSe2
_cell_length_a 7.1630
_cell_length_b 7.1630
_cell_length_c 7.1630
_cell_angle_alpha 90.00
_cell_angle_beta 90.00
_cell_angle_gamma 90.00
_symmetry_space_group_name_H-M 'F m -3 m'
_symmetry_Int_Tables_number 225
_symmetry_space_group_name_Hall '-F 4 2 3'
loop_
_atom_site_label
_atom_site_fract_x
_atom_site_fract_y
_atom_site_fract_z
Ca1 0.0000 0.0000 0.0000
Ge1 0.0000 0.0000 0.5000
Se1 0.2500 0.2500 0.2500
```

The least stable of them is arrangement one.

Arrangement one

Here is crystalline CaGeSe2 at its relaxed geometry from the Alexandria database. Energies are from PBE.

Cell and atoms, written as CIF:
```
data_CaGeSe2
_cell_length_a 4.0665
_cell_length_b 4.0665
_cell_length_c 21.1048
_cell_angle_alpha 90.00
_cell_angle_beta 90.00
_cell_angle_gamma 120.00
_symmetry_space_group_name_H-M 'R 3 m'
_symmetry_Int_Tables_number 160
_symmetry_space_group_name_Hall 'R 3 -2"'
loop_
_atom_site_label
_atom_site_fract_x
_atom_site_fract_y
_atom_site_fract_z
Ca1 0.0000 0.0000 0.0000
Ge1 0.0000 0.0000 0.1681
Se1 0.0000 0.0000 0.5797
Se2 0.0000 0.0000 0.7559
```

Arrangement two

Here is crystalline CaGeSe2 at its relaxed geometry from the Alexandria database. Energies are from PBE.

Cell and atoms, written as CIF:
```
data_CaGeSe2
_cell_length_a 4.4230
_cell_length_b 4.4230
_cell_length_c 23.9161
_cell_angle_alpha 90.00
_cell_angle_beta 90.00
_cell_angle_gamma 120.00
_symmetry_space_group_name_H-M 'R -3 m'
_symmetry_Int_Tables_number 166
_symmetry_space_group_name_Hall '-R 3 2"'
loop_
_atom_site_label
_atom_site_fract_x
_atom_site_fract_y
_atom_site_fract_z
Ca1 0.0000 0.0000 0.0000
Ge1 0.0000 0.0000 0.5000
Se1 0.0000 0.0000 0.3956
```

Arrangement three

Here is crystalline CaGeSe2 at its relaxed geometry from the Alexandria database. Energies are from PBE.

Cell and atoms, written as CIF:
```
data_CaGeSe2
_cell_length_a 4.2300
_cell_length_b 4.0971
_cell_length_c 5.9268
_cell_angle_alpha 90.00
_cell_angle_beta 91.09
_cell_angle_gamma 90.00
_symmetry_space_group_name_H-M 'P 1 m 1'
_symmetry_Int_Tables_number 6
loop_
_symmetry_equiv_pos_as_xyz
'x,y,z'
'x,-y,z'
loop_
_atom_site_label
_atom_site_fract_x
_atom_site_fract_y
_atom_site_fract_z
Ca1 0.0000 0.0000 0.0000
Ge1 0.4454 0.5000 0.5353
Se1 0.0355 0.0000 0.5040
Se2 0.4957 0.5000 0.9791
```

Arrangement four

Here is crystalline CaGeSe2 at its relaxed geometry from the Alexandria database. Energies are from PBE.

Cell and atoms, written as CIF:
```
data_CaGeSe2
_cell_length_a 4.0384
_cell_length_b 5.4455
_cell_length_c 5.7145
_cell_angle_alpha 77.26
_cell_angle_beta 69.44
_cell_angle_gamma 68.42
_symmetry_space_group_name_H-M 'P 1'
_symmetry_Int_Tables_number 1
loop_
_symmetry_equiv_pos_as_xyz
'x,y,z'
loop_
_atom_site_label
_atom_site_fract_x
_atom_site_fract_y
_atom_site_fract_z
Ca1 0.0000 0.0000 0.0000
Ge1 0.5442 0.4680 0.4429
Se1 0.2247 0.1115 0.4357
Se2 0.7170 0.5890 0.9737
```

The least stable of them is arrangement two.

Arrangement one

Here is crystalline Ca2GeSe4 at its relaxed geometry from the Alexandria database. Energies are from PBE.

Cell and atoms, written as CIF:
```
data_Ca2GeSe4
_cell_length_a 10.1495
_cell_length_b 10.4191
_cell_length_c 7.1981
_cell_angle_alpha 90.00
_cell_angle_beta 90.00
_cell_angle_gamma 90.00
_symmetry_space_group_name_H-M 'A m a 2'
_symmetry_Int_Tables_number 40
loop_
_symmetry_equiv_pos_as_xyz
'x,y,z'
'-x,-y,z'
'-x+1/2,y,z'
'x+1/2,-y,z'
'x,y+1/2,z+1/2'
'-x,-y+1/2,z+1/2'
'-x+1/2,y+1/2,z+1/2'
'x+1/2,-y+1/2,z+1/2'
loop_
_atom_site_label
_atom_site_fract_x
_atom_site_fract_y
_atom_site_fract_z
Ca1 0.0000 0.0000 0.0000
Ca2 0.2500 0.1928 0.5539
Ge1 0.2500 0.2715 0.0364
Se1 0.0588 0.2710 0.8437
Se2 0.2500 0.0683 0.1969
Se3 0.2500 0.4337 0.2724
```

Arrangement two

Here is crystalline Ca2GeSe4 at its relaxed geometry from the Alexandria database. Energies are from PBE.

Cell and atoms, written as CIF:
```
data_Ca2GeSe4
_cell_length_a 5.0351
_cell_length_b 5.0351
_cell_length_c 14.8028
_cell_angle_alpha 90.00
_cell_angle_beta 90.00
_cell_angle_gamma 90.00
_symmetry_space_group_name_H-M 'I 4/m m m'
_symmetry_Int_Tables_number 139
_symmetry_space_group_name_Hall '-I 4 2'
loop_
_atom_site_label
_atom_site_fract_x
_atom_site_fract_y
_atom_site_fract_z
Ca1 0.0000 0.0000 0.1323
Ge1 0.0000 0.0000 0.5000
Se1 0.0000 0.0000 0.3238
Se2 0.0000 0.5000 0.0000
```

The least stable of them is arrangement two.